Computed, not measured: an optimized crystal structure of TbTmAu at the PBE level of DFT.

Results
For the total magnetization, the calculation gives 0.00 μB per formula unit. Its density of states at the Fermi level is 2.03 states/eV/f.u. The calculation puts the electronic total energy at -4.55 eV per atom. Its space-group type is P3m1, No. 156.

a b c (Å): 3.808 4.883 4.883
angles (deg): 120.00 90.00 90.00
Fractional coordinates of all 3 atoms:
Tb (0.607, 0.667, 0.333)
Tm (0.082, 0.000, 0.000)
Au (0.312, 0.333, 0.667)

=====

Computed, not measured: an optimized crystal structure of TbTmAu at the PBE level of DFT.

Results
For the total magnetization, the calculation gives 0.00 μB per formula unit. Its density of states at the Fermi level is 2.81 states/eV/f.u. The calculation puts the electronic total energy at -4.75 eV per atom. Its space-group type is P2_1/m, No. 11.

a b c (Å): 4.893 7.285 13.304
angles (deg): 87.52 90.00 90.00
Fractional coordinates of all 18 atoms:
Tb (0.750, 0.520, 0.377)
Tb (0.250, 0.003, 0.717)
Tb (0.750, 0.997, 0.283)
Tb (0.750, 0.621, 0.083)
Tb (0.250, 0.480, 0.623)
Tb (0.250, 0.379, 0.917)
Tm (0.250, 0.963, 0.087)
Tm (0.250, 0.861, 0.455)
Tm (0.750, 0.659, 0.783)
Tm (0.750, 0.139, 0.545)
Tm (0.250, 0.341, 0.217)
Tm (0.750, 0.037, 0.913)
Au (0.250, 0.776, 0.903)
Au (0.750, 0.280, 0.743)
Au (0.750, 0.743, 0.565)
Au (0.750, 0.224, 0.097)
Au (0.250, 0.257, 0.435)
Au (0.250, 0.720, 0.257)

=====

Computed, not measured: an optimized crystal structure of TbTmAu6 at the PBE level of DFT.

Results
For the total magnetization, the calculation gives 0.00 μB per formula unit. Its density of states at the Fermi level is 3.32 states/eV/f.u. The calculation puts the electronic total energy at -4.27 eV per atom. Its space-group type is C2/m, No. 12.

a b c (Å): 4.499 5.111 8.147
angles (deg): 81.55 73.97 63.89
Fractional coordinates of all 8 atoms:
Tb (0.000, 0.500, 0.500)
Tm (0.000, 0.000, 0.000)
Au (0.250, 0.871, 0.629)
Au (0.503, 0.244, 0.750)
Au (0.252, 0.375, 0.121)
Au (0.497, 0.756, 0.250)
Au (0.750, 0.129, 0.371)
Au (0.748, 0.625, 0.879)

=====

Please write out number 1 again, unchanged.
Computed, not measured: an optimized crystal structure of TbTmAu at the PBE level of DFT.

Results
For the total magnetization, the calculation gives 0.00 μB per formula unit. Its density of states at the Fermi level is 2.03 states/eV/f.u. The calculation puts the electronic total energy at -4.55 eV per atom. Its space-group type is P3m1, No. 156.

a b c (Å): 3.808 4.883 4.883
angles (deg): 120.00 90.00 90.00
Fractional coordinates of all 3 atoms:
Tb (0.607, 0.667, 0.333)
Tm (0.082, 0.000, 0.000)
Au (0.312, 0.333, 0.667)